Record 1
First-principles (PBE-GGA) data for a relaxed structure of RbCo2CuCl6, as listed in the Alexandria database.

extended XYZ file:
```
20
Lattice="7.251 0.056 0.058 2.387 9.147 -0.279 2.387 -0.618 9.130" Properties=species:S:1:pos:R:3 pbc="T T T"
Cu 4.200 1.566 7.054
Cu 7.826 7.019 1.856
Co 9.359 5.249 6.862
Co 5.734 6.635 5.471
Co 6.292 1.950 3.439
Co 2.666 3.336 2.047
Cl 5.836 1.252 5.549
Cl 3.541 5.977 5.244
Cl 4.859 3.538 2.713
Cl 5.776 8.390 6.898
Cl 2.210 5.471 1.428
Cl 9.816 3.114 7.482
Cl 2.624 1.974 0.241
Cl 7.167 5.047 6.196
Cl 8.485 2.608 3.665
Cl 9.402 6.611 8.669
Cl 6.250 0.195 2.011
Cl 6.190 7.333 3.360
Rb 4.200 7.972 0.881
Rb 7.826 0.613 8.028
```

Values from the calculation:
formation energy from raw total energies: -0.807 eV/atom
magnetization: 12.01 μB/cell
space-group type: C2/c (15)
electronic total energy: -3.842 eV/atom

***

Record 2
First-principles (PBE-GGA) data for a relaxed structure of RbCoCuCl6, as listed in the Alexandria database.

extended XYZ file:
```
9
Lattice="6.192 0.002 0.001 3.098 5.362 0.000 0.001 -0.002 7.379" Properties=species:S:1:pos:R:3 pbc="T T T"
Rb 0.002 -0.001 7.379
Cl 2.058 3.316 4.992
Cl 2.292 0.120 4.990
Cl 4.943 1.921 4.991
Cl 4.137 3.318 2.389
Cl 1.251 1.923 2.389
Cl 3.902 0.123 2.387
Co 3.097 1.787 3.690
Cu 6.195 3.575 3.690
```

Values from the calculation:
formation energy from raw total energies: -0.826 eV/atom
magnetization: 1.05 μB/cell
space-group type: P312 (149)
electronic total energy: -3.410 eV/atom

***

Record 3
First-principles (PBE-GGA) data for a relaxed structure of Rb3CoCu2Cl9, as listed in the Alexandria database.

extended XYZ file:
```
15
Lattice="-4.797 3.821 3.281 -0.782 -6.894 -0.488 4.212 -0.995 7.317" Properties=species:S:1:pos:R:3 pbc="T T T"
Co 2.106 -0.498 3.658
Cl 1.090 -0.537 5.847
Cl -2.790 -1.537 1.397
Cl -1.743 -2.098 7.265
Cl -0.391 -3.447 -0.244
Cl -0.021 -5.472 2.597
Cl -2.457 -3.531 4.264
Cl -2.398 1.910 1.641
Cl -1.346 1.403 7.513
Cl 0.377 -1.971 2.845
Rb 0.000 0.000 0.000
Rb 0.698 -3.988 5.664
Rb -2.065 -0.080 4.447
Cu -1.438 -3.484 1.955
Cu 0.071 -0.585 8.156
```

Values from the calculation:
formation energy from raw total energies: -1.089 eV/atom
magnetization: 1.79 μB/cell
space-group type: P-3m1 (164)
electronic total energy: -3.410 eV/atom

***

Record 4
First-principles (PBE-GGA) data for a relaxed structure of Sm4CoCuCl2, as listed in the Alexandria database.

extended XYZ file:
```
8
Lattice="-2.737 2.072 -2.029 3.350 -1.384 -5.934 -5.133 -5.670 1.134" Properties=species:S:1:pos:R:3 pbc="T T T"
Sm -3.178 -4.889 -0.707
Sm -1.576 -0.503 -2.306
Sm -2.944 -4.479 -4.523
Sm 1.395 -2.165 -4.093
Cu 0.000 0.000 0.000
Cl -0.892 -3.527 -2.400
Cl -3.935 -1.799 -0.448
Co 0.307 0.344 -3.981
```

Values from the calculation:
formation energy from raw total energies: -0.797 eV/atom
magnetization: 0.00 μB/cell
space-group type: P2/m (10)
electronic total energy: -5.018 eV/atom

***

Record 5
First-principles (PBE-GGA) data for a relaxed structure of Ti2CoCuCl, as listed in the Alexandria database.

extended XYZ file:
```
5
Lattice="-3.137 -3.514 0.565 3.534 -2.985 1.055 -0.377 0.990 4.065" Properties=species:S:1:pos:R:3 pbc="T T T"
Cu 0.000 0.000 0.000
Cl -0.189 0.495 2.032
Ti -1.568 -1.757 0.283
Ti 1.767 -1.492 0.528
Co 0.010 -2.754 2.843
```

Values from the calculation:
formation energy from raw total energies: 1.195 eV/atom
magnetization: 0.00 μB/cell
space-group type: P4/mmm (123)
electronic total energy: -4.572 eV/atom

***

Record 6
First-principles (PBE-GGA) data for a relaxed structure of TlCoCuCl5, as listed in the Alexandria database.

extended XYZ file:
```
16
Lattice="7.412 0.326 0.443 -1.852 7.184 0.443 -1.821 -2.459 7.877" Properties=species:S:1:pos:R:3 pbc="T T T"
Cl -0.011 1.908 4.781
Cl 3.751 3.143 3.982
Cl 1.001 3.275 7.921
Cl -2.528 2.892 7.293
Cl -1.604 6.049 2.412
Cl 4.414 -0.344 3.354
Cl -0.675 5.395 5.409
Cl 2.739 1.776 0.842
Cl 6.268 2.159 1.470
Cl 5.344 -0.998 6.351
Tl 1.057 4.079 2.412
Tl 2.683 0.972 6.351
Cu -0.910 -1.230 3.939
Cu 0.000 0.000 0.000
Co 4.295 1.682 2.412
Co -0.555 3.369 6.351
```

Values from the calculation:
formation energy from raw total energies: -0.667 eV/atom
magnetization: 8.05 μB/cell
space-group type: C2/c (15)
electronic total energy: -3.518 eV/atom

***

Record 7
First-principles (PBE-GGA) data for a relaxed structure of Tl2CoCu2Cl6, as listed in the Alexandria database.

extended XYZ file:
```
11
Lattice="-1.844 1.405 6.852 -4.858 -2.533 -4.606 5.410 -4.450 2.368" Properties=species:S:1:pos:R:3 pbc="T T T"
Cl 0.409 -3.506 4.647
Cl -2.163 -4.808 2.158
Cl -1.700 -2.072 -0.033
Cl -1.316 -5.453 -0.990
Cl 0.871 -0.770 2.456
Cl 0.024 -0.124 5.604
Co 1.783 -1.523 4.610
Tl 1.154 -4.583 1.250
Tl -2.445 -0.995 3.364
Cu -1.734 -3.933 4.158
Cu 0.443 -1.644 0.456
```

Values from the calculation:
formation energy from raw total energies: -0.649 eV/atom
magnetization: 3.04 μB/cell
space-group type: C2/m (12)
electronic total energy: -3.478 eV/atom

***

Record 8
First-principles (PBE-GGA) data for a relaxed structure of Tl3Co2CuCl8, as listed in the Alexandria database.

extended XYZ file:
```
14
Lattice="-3.136 -0.690 6.316 -3.588 -1.510 -5.921 2.788 -8.438 0.463" Properties=species:S:1:pos:R:3 pbc="T T T"
Cl -0.709 -9.495 -1.389
Cl -3.227 -1.143 2.247
Cl -0.766 -3.309 -0.742
Cl -2.619 -4.089 -3.800
Cl -1.317 -6.548 4.658
Cl 0.303 -6.192 1.396
Cl -3.170 -7.328 1.600
Cl -4.239 -4.446 -0.537
Tl 0.000 0.000 0.000
Tl -1.651 -6.643 -1.545
Tl -2.285 -3.995 2.404
Co -2.803 -3.157 -1.736
Co -1.133 -7.480 2.595
Cu 1.394 -4.219 0.231
```

Values from the calculation:
formation energy from raw total energies: -0.704 eV/atom
magnetization: 6.07 μB/cell
space-group type: P-3m1 (164)
electronic total energy: -3.574 eV/atom